Entry from the Alexandria database: a relaxed Mg3Hg2Au crystal (PBE-GGA).

Properties
V, Å³/atom: 20.2
DFT formation energy, eV per formula unit: -2.11
DOS at the Fermi energy, states/eV/cell: 1.596
Space group: P4/mmm
Size of the total moment, μB/cell: 0.00

Geometry as POSCAR:
```
Mg3Hg2Au
1.0
3.332 0.000 0.000
0.000 3.332 0.000
0.000 0.000 10.917
Au Mg Hg
1 3 2
Cartesian
1.666 1.666 5.458 Au
0.000 0.000 7.068 Mg
0.000 0.000 3.849 Mg
0.000 0.000 0.000 Mg
1.666 1.666 8.991 Hg
1.666 1.666 1.926 Hg
```



Entry from the Alexandria database: a relaxed Mg2HgAu3 crystal (PBE-GGA).

Properties
V, Å³/atom: 22.3
DFT formation energy, eV per formula unit: -1.52
DOS at the Fermi energy, states/eV/cell: 3.769
Space group: Imma
Size of the total moment, μB/cell: 0.00
ΔE to the lowest computed polymorph, meV/atom: 143.6

Geometry as POSCAR:
```
Mg2HgAu3
1.0
-1.659 -3.320 6.802
4.458 -6.035 -1.858
2.124 6.710 -0.620
Mg Au Hg
4 6 2
Cartesian
3.611 2.550 0.380 Mg
1.311 -5.195 3.943 Mg
-1.091 -2.525 5.583 Mg
6.013 -0.120 -1.260 Mg
3.161 -4.279 -1.318 Au
2.696 -6.433 1.931 Au
1.062 3.355 -0.310 Au
3.291 0.337 -1.239 Au
0.103 -2.922 3.012 Au
1.297 -1.755 -0.541 Au
1.149 -0.210 3.437 Hg
3.773 -2.436 0.886 Hg
```



Entry from the Alexandria database: a relaxed Mg2HgAu crystal (PBE-GGA).

Properties
V, Å³/atom: 21.3
DFT formation energy, eV per formula unit: -1.11
DOS at the Fermi energy, states/eV/cell: 1.286
Space group: C2/m
Size of the total moment, μB/cell: 0.00

Geometry as POSCAR:
```
Mg2HgAu
1.0
4.679 -0.018 -0.016
3.326 3.292 -0.016
1.306 0.534 5.504
Hg Mg Au
1 2 1
Cartesian
2.328 0.952 1.368 Hg
4.618 1.889 2.856 Mg
1.344 0.550 5.384 Mg
6.983 2.856 4.104 Au
```



Entry from the Alexandria database: a relaxed Mg2HgAu2 crystal (PBE-GGA).

Properties
V, Å³/atom: 20.0
DFT formation energy, eV per formula unit: -1.83
DOS at the Fermi energy, states/eV/cell: 3.097
Space group: P4/mbm
Size of the total moment, μB/cell: 0.00
ΔE to the lowest computed polymorph, meV/atom: 80.5

Geometry as POSCAR:
```
Mg2HgAu2
1.0
-0.849 0.572 -7.800
-5.694 -5.423 0.222
-2.205 2.332 0.411
Au Hg Mg
4 2 4
Cartesian
-3.892 -0.301 -6.433 Au
-4.857 -2.218 -0.734 Au
-6.550 -3.140 -4.584 Au
-2.199 0.621 -2.582 Au
0.000 0.000 0.000 Hg
-3.272 -2.426 -3.789 Hg
-1.436 -0.464 -5.071 Mg
-2.098 -1.785 -1.129 Mg
-5.107 -4.387 -2.506 Mg
-4.445 -3.066 -6.449 Mg
```



Entry from the Alexandria database: a relaxed MgHg2Au crystal (PBE-GGA).

Properties
V, Å³/atom: 21.3
DFT formation energy, eV per formula unit: -0.72
DOS at the Fermi energy, states/eV/cell: 1.046
Space group: Pm
Size of the total moment, μB/cell: 0.00

Geometry as POSCAR:
```
MgHg2Au
1.0
-2.170 2.917 0.485
-0.903 -1.182 3.068
4.225 2.133 6.074
Au Hg Mg
1 2 1
Cartesian
1.260 2.082 6.985 Au
-0.192 1.732 2.592 Hg
4.150 2.085 6.026 Hg
1.820 0.578 4.669 Mg
```



Entry from the Alexandria database: a relaxed Mg2HgAu2 crystal (PBE-GGA).

Properties
V, Å³/atom: 19.8
DFT formation energy, eV per formula unit: -2.23
DOS at the Fermi energy, states/eV/cell: 2.596
Space group: P4/mbm
Size of the total moment, μB/cell: 0.00
ΔE to the lowest computed polymorph, meV/atom: 0.0

Geometry as POSCAR:
```
Mg2HgAu2
1.0
-5.739 4.015 -3.106
-4.743 -2.571 5.440
0.795 2.635 1.938
Au Hg Mg
4 2 4
Cartesian
-6.188 -0.759 3.570 Au
-4.294 2.204 -1.236 Au
-2.507 -0.390 1.559 Au
-7.975 1.835 0.776 Au
-5.241 0.722 1.167 Hg
0.000 0.000 0.000 Hg
-6.035 3.816 0.210 Mg
-3.652 0.264 4.063 Mg
-7.374 1.809 3.489 Mg
-2.313 2.271 0.784 Mg
```



Entry from the Alexandria database: a relaxed Mg5HgAu crystal (PBE-GGA).

Properties
V, Å³/atom: 29.6
DFT formation energy, eV per formula unit: -0.18
DOS at the Fermi energy, states/eV/cell: 5.084
Space group: C2/c
Size of the total moment, μB/cell: 0.00

Geometry as POSCAR:
```
Mg5HgAu
1.0
7.397 0.242 0.269
2.576 6.938 0.269
3.888 2.799 8.376
Hg Mg Au
2 10 2
Cartesian
6.212 3.938 2.363 Hg
7.649 6.041 6.550 Hg
9.934 7.425 5.952 Mg
8.065 3.926 4.743 Mg
5.796 6.053 4.170 Mg
8.249 5.665 1.764 Mg
5.612 4.313 7.149 Mg
7.857 1.653 2.363 Mg
9.523 4.976 8.358 Mg
3.927 2.554 2.961 Mg
4.338 5.003 0.555 Mg
6.004 8.326 6.550 Mg
1.944 1.399 4.188 Au
0.000 0.000 0.000 Au
```



Entry from the Alexandria database: a relaxed MgHg2Au crystal (PBE-GGA).

Properties
V, Å³/atom: 20.8
DFT formation energy, eV per formula unit: -0.58
DOS at the Fermi energy, states/eV/cell: 1.117
Space group: I-4m2
Size of the total moment, μB/cell: 0.00

Geometry as POSCAR:
```
MgHg2Au
1.0
5.184 -0.015 0.000
1.282 5.023 0.000
-3.233 -2.504 3.186
Hg Au Mg
2 1 1
Cartesian
0.641 2.512 1.593 Hg
0.000 0.000 0.000 Hg
2.592 -0.008 1.593 Au
3.233 2.504 0.000 Mg
```



Entry from the Alexandria database: a relaxed MgHgAu2 crystal (PBE-GGA).

Properties
V, Å³/atom: 21.1
DFT formation energy, eV per formula unit: -0.74
DOS at the Fermi energy, states/eV/cell: 1.720
Space group: R3m
Size of the total moment, μB/cell: 0.00

Geometry as POSCAR:
```
MgHgAu2
1.0
4.531 0.000 0.000
2.266 3.924 0.000
2.266 1.308 4.746
Au Mg Hg
2 1 1
Cartesian
2.266 1.308 3.926 Au
2.266 1.308 0.901 Au
6.797 3.924 4.503 Mg
4.531 2.616 2.536 Hg
```



Entry from the Alexandria database: a relaxed MgHg2Au2 crystal (PBE-GGA).

Properties
V, Å³/atom: 22.3
DFT formation energy, eV per formula unit: -0.02
DOS at the Fermi energy, states/eV/cell: 1.807
Space group: I4/mmm
Size of the total moment, μB/cell: 0.00
ΔE to the lowest computed polymorph, meV/atom: 101.6

Geometry as POSCAR:
```
MgHg2Au2
1.0
3.911 0.000 0.000
0.000 3.911 0.000
1.955 1.955 7.300
Hg Au Mg
2 2 1
Cartesian
1.955 1.955 1.434 Hg
3.911 3.911 5.866 Hg
1.955 3.911 3.650 Au
3.911 1.955 3.650 Au
0.000 0.000 0.000 Mg
```



Entry from the Alexandria database: a relaxed MgHgAu2 crystal (PBE-GGA).

Properties
V, Å³/atom: 19.3
DFT formation energy, eV per formula unit: -0.99
DOS at the Fermi energy, states/eV/cell: 1.032
Space group: Pmm2
Size of the total moment, μB/cell: 0.00

Geometry as POSCAR:
```
MgHgAu2
1.0
3.473 0.000 0.000
0.000 3.800 0.000
0.000 0.000 5.838
Mg Hg Au
1 1 2
Cartesian
1.736 1.900 4.492 Mg
0.000 0.000 2.883 Hg
0.000 0.000 5.769 Au
1.736 1.900 1.451 Au
```



Entry from the Alexandria database: a relaxed Mg3HgAu crystal (PBE-GGA).

Properties
V, Å³/atom: 27.2
DFT formation energy, eV per formula unit: -0.79
DOS at the Fermi energy, states/eV/cell: 2.378
Space group: Pm-3m
Size of the total moment, μB/cell: 0.00
ΔE to the lowest computed polymorph, meV/atom: 160.0

Geometry as POSCAR:
```
Mg3HgAu
1.0
5.141 0.000 0.000
0.000 5.141 0.000
0.000 0.000 5.141
Mg Hg Au
3 1 1
Cartesian
2.571 0.000 0.000 Mg
0.000 2.571 0.000 Mg
0.000 0.000 2.571 Mg
2.571 2.571 2.571 Hg
0.000 0.000 0.000 Au
```